# 1
Entry from the Alexandria database: a relaxed structure of SrHfGe2 (GGA-PBE).

ΔE_f ... -0.017 eV per atom
Density of states at the Fermi level ... 7.81 states/eV/cell
Calculated total energy ... -41.88 eV per cell
Space group ... I-42d
Total moment ... 0.0000 μB/atom
Calculated volume ... 31.676 Å³/atom

Lattice parameters (Å, degrees): 5.373 5.373 9.565 73.69 73.69 90.00
Sites, in units of the cell vectors:
Ge: 0.375 0.211 0.750
Ge: 0.961 0.625 0.250
Ge: 0.875 0.039 0.750
Ge: 0.789 0.125 0.250
Sr: 0.250 0.750 0.500
Sr: 0.500 0.500 0.000
Hf: 0.000 0.000 0.000
Hf: 0.750 0.250 0.500



# 2
Entry from the Alexandria database: a relaxed structure of SrHf2Ge (GGA-PBE).

ΔE_f ... 0.523 eV per atom
Density of states at the Fermi level ... 10.72 states/eV/cell
Calculated total energy ... -48.23 eV per cell
Space group ... I-42d
Total moment ... 0.0000 μB/atom
Calculated volume ... 28.001 Å³/atom

Lattice parameters (Å, degrees): 4.720 4.720 10.593 77.13 77.13 90.00
Sites, in units of the cell vectors:
Hf: 0.242 0.625 0.250
Hf: 0.375 0.492 0.750
Hf: 0.508 0.125 0.250
Hf: 0.875 0.758 0.750
Sr: 0.750 0.250 0.500
Sr: 0.000 0.000 0.000
Ge: 0.250 0.750 0.500
Ge: 0.500 0.500 0.000



# 3
Entry from the Alexandria database: a relaxed structure of SrHfTc2Ge (GGA-PBE).

ΔE_f ... 1.071 eV per atom
Density of states at the Fermi level ... 6.02 states/eV/cell
Calculated total energy ... -31.63 eV per cell
Space group ... P4/mmm
Total moment ... 0.0960 μB/atom
Calculated volume ... 22.873 Å³/atom

Lattice parameters (Å, degrees): 4.697 5.184 4.697 90.00 90.00 90.00
Sites, in units of the cell vectors:
Tc: 0.500 0.000 0.000
Tc: 0.000 0.000 0.500
Sr: 0.000 0.500 0.000
Ge: 0.000 0.000 0.000
Hf: 0.500 0.500 0.500



# 4
Entry from the Alexandria database: a relaxed structure of SrHfTl2Ge (GGA-PBE).

ΔE_f ... 0.767 eV per atom
Density of states at the Fermi level ... 4.26 states/eV/cell
Calculated total energy ... -17.15 eV per cell
Space group ... P4/mmm
Total moment ... 0.2949 μB/atom
Calculated volume ... 33.632 Å³/atom

Lattice parameters (Å, degrees): 5.397 5.774 5.397 90.00 90.00 90.00
Sites, in units of the cell vectors:
Ge: 0.000 0.000 0.000
Hf: 0.500 0.500 0.500
Tl: 0.000 0.000 0.500
Tl: 0.500 0.000 0.000
Sr: 0.000 0.500 0.000



# 5
Entry from the Alexandria database: a relaxed structure of HfTaGe (GGA-PBE).

ΔE_f ... 0.033 eV per atom
Density of states at the Fermi level ... 3.08 states/eV/cell
Calculated total energy ... -52.65 eV per cell
Space group ... R-3m
Total moment ... 0.0000 μB/atom
Calculated volume ... 20.094 Å³/atom

Lattice parameters (Å, degrees): 3.554 3.554 11.210 80.88 80.88 60.00
Sites, in units of the cell vectors:
Ta: 0.804 0.804 0.588
Ta: 0.196 0.196 0.412
Hf: 0.370 0.370 0.891
Hf: 0.630 0.630 0.109
Ge: 0.912 0.912 0.265
Ge: 0.088 0.088 0.735



# 6
Entry from the Alexandria database: a relaxed structure of HfTaGe (GGA-PBE).

ΔE_f ... -0.268 eV per atom
Density of states at the Fermi level ... 10.62 states/eV/cell
Calculated total energy ... -108.91 eV per cell
Space group ... Cmce
Total moment ... 0.0000 μB/atom
Calculated volume ... 19.031 Å³/atom

Lattice parameters (Å, degrees): 5.601 6.252 7.294 90.00 90.00 116.61
Sites, in units of the cell vectors:
Hf: 0.833 0.666 0.417
Hf: 0.667 0.334 0.917
Hf: 0.333 0.666 0.083
Hf: 0.167 0.334 0.583
Ta: 0.309 0.118 0.250
Ta: 0.691 0.882 0.750
Ta: 0.809 0.118 0.250
Ta: 0.191 0.882 0.750
Ge: 0.613 0.227 0.558
Ge: 0.887 0.773 0.058
Ge: 0.387 0.773 0.442
Ge: 0.113 0.227 0.942